The following is a PBE with a Hubbard U calculation of a geometry-optimized Cr2PdO4 structure, from the Alexandria database.

Values from the calculation:
- volume (Å³/cell) = 87.0
- total DFT energy (no corrections) (eV for the cell shown) = -43.71
- space group = I4/mmm, No. 139
- mass density (Mg/m³) = 5.240

```
7
Lattice="-1.991 1.991 5.485 1.991 -1.991 5.485 1.991 1.991 -5.485" Properties=species:S:1:pos:R:3 pbc="T T T"
Cr 0.000 0.000 1.588
Cr 0.000 0.000 9.381
Pd 0.000 0.000 5.485
O 1.991 0.000 0.000
O 0.000 0.000 3.489
O 0.000 1.991 0.000
O 0.000 0.000 7.480
```